Entry from Alexandria via LeMat-Bulk: Mg14VMo after structural relaxation (PBE).

polymorph energy (0 for the lowest one)	0.0	meV per atom
energy of formation	151	meV per atom
density of states at the Fermi level	18.19	states/eV/cell

a b c (Å): 10.0905 6.1173 10.9528
angles (deg): 90.00 90.00 90.00
With the nearest neighbours (Å) after each atom.
Space group Amm2 (No. 38)
Symmetry-distinct sites (fractional):
Mg1 0.0000 0.0000 0.0000 x2  12 Mg 3.06-3.20
Mg2 0.0000 0.0000 0.4989 x2  12 Mg 3.06-3.22
Mg3 0.0000 0.2494 0.2510 x4  12 Mg 3.05-3.24
Mg4 0.2547 0.0000 0.6594 x4  1 V 3.01, 11 Mg 3.06-3.21
Mg5 0.2602 0.0000 0.1580 x4  1 Mo 2.95, 11 Mg 3.03-3.24
Mg6 0.2653 0.2469 0.9179 x8  1 Mo 2.96, 1 V 2.98, 10 Mg 2.99-3.24
Mg7 0.5000 0.2495 0.7511 x4  8 Mg 2.99-3.08, 2 Mo 3.11-3.17, 2 V 3.11-3.16
V1 0.5000 0.0000 0.5035 x2  10 Mg 2.98-3.16, 2 Mo 3.06
Mo1 0.5000 0.0000 0.0044 x2  10 Mg 2.95-3.17, 2 V 3.06